A plane-wave DFT calculation with PBE-GGA was carried out for crystalline ZrTe3Ru at its relaxed geometry.

Structure (POSCAR):
```
ZrTe3Ru
1.0
5.1430 0.0000 0.0000
0.0000 5.1430 0.0000
0.0000 0.0000 5.1430
Zr Te Ru
1 3 1
Direct
0.0000 0.0000 0.0000
0.0000 0.5000 0.5000
0.5000 0.0000 0.5000
0.5000 0.5000 0.0000
0.5000 0.5000 0.5000
```

Results
The value obtained for the uncorrected formation energy is 0.452 eV/atom. The value obtained for the energy above the most stable polymorph in this dataset is 0 meV per atom.


A plane-wave DFT calculation with PBE-GGA was carried out for crystalline Zr2TeRu at its relaxed geometry.

Structure (POSCAR):
```
Zr2TeRu
1.0
3.8661 0.0000 0.0000
-1.9330 3.3481 0.0000
0.0000 0.0000 21.2342
Zr Te Ru
6 3 3
Direct
0.0000 0.0000 0.2337
0.0000 0.0000 0.7663
0.3333 0.6667 0.4330
0.3333 0.6667 0.9003
0.6667 0.3333 0.0997
0.6667 0.3333 0.5670
0.0000 0.0000 0.0000
0.3333 0.6667 0.6667
0.6667 0.3333 0.3333
0.0000 0.0000 0.5000
0.3333 0.6667 0.1667
0.6667 0.3333 0.8333
```

Results
The value obtained for the uncorrected formation energy is -0.467 eV/atom.


A plane-wave DFT calculation with PBE-GGA was carried out for crystalline Th4Ru at its relaxed geometry.

Structure (POSCAR):
```
Th4Ru
1.0
0.0000 5.4528 5.4528
5.4528 0.0000 5.4528
5.4528 5.4528 0.0000
Th Ru
8 2
Direct
0.2106 0.7631 0.7631
0.2369 0.2369 0.2369
0.2369 0.2369 0.7894
0.2369 0.7894 0.2369
0.7631 0.2106 0.7631
0.7631 0.7631 0.2106
0.7631 0.7631 0.7631
0.7894 0.2369 0.2369
0.3750 0.3750 0.3750
0.6250 0.6250 0.6250
```

Results
The value obtained for the energy above the most stable polymorph in this dataset is 374 meV per atom. Its formation energy is 23.4 kJ/mol of atoms.


A plane-wave DFT calculation with PBE-GGA was carried out for crystalline Th4Ru at its relaxed geometry.

Structure (POSCAR):
```
Th4Ru
1.0
5.4718 0.0000 0.0000
0.0000 5.4718 0.0000
0.0000 0.0000 5.4718
Th Ru
4 1
Direct
0.0000 0.0000 0.0000
0.0000 0.5000 0.5000
0.5000 0.0000 0.5000
0.5000 0.5000 0.0000
0.5000 0.5000 0.5000
```

Results
The value obtained for the energy above the most stable polymorph in this dataset is 176 meV per atom. Its formation energy is 4.3 kJ/mol of atoms.


A plane-wave DFT calculation with PBE-GGA was carried out for crystalline Th3Ru at its relaxed geometry.

Structure (POSCAR):
```
Th3Ru
1.0
3.6766 0.0000 0.0000
0.0000 10.2708 0.0000
0.0000 0.0000 6.0139
Th Ru
6 2
Direct
0.0000 0.0000 0.0000
0.0000 0.1936 0.5331
0.0000 0.8064 0.5331
0.5000 0.3064 0.0331
0.5000 0.5000 0.5000
0.5000 0.6936 0.0331
0.0000 0.5000 0.8587
0.5000 0.0000 0.3587
```

Results
Its formation energy is -18.6 kJ/mol of atoms.


A plane-wave DFT calculation with PBE-GGA was carried out for crystalline Th4Ru at its relaxed geometry.

Structure (POSCAR):
```
Th4Ru
1.0
8.7610 0.0000 0.0000
0.0000 8.7610 0.0000
0.0000 0.0000 3.6441
Th Ru
8 2
Direct
0.0777 0.2726 0.0000
0.2274 0.5777 0.5000
0.2726 0.9223 0.0000
0.4223 0.2274 0.5000
0.5777 0.7726 0.5000
0.7274 0.0777 0.0000
0.7726 0.4223 0.5000
0.9223 0.7274 0.0000
0.0000 0.0000 0.5000
0.5000 0.5000 0.0000
```

Results
The value obtained for the energy above the most stable polymorph in this dataset is 0 meV per atom. Its formation energy is -12.7 kJ/mol of atoms.


A plane-wave DFT calculation with PBE-GGA was carried out for crystalline Th5Ru2 at its relaxed geometry.

Structure (POSCAR):
```
Th5Ru2
1.0
8.5146 -3.2072 0.0000
8.5146 3.2072 0.0000
-0.8519 0.0000 7.1461
Th Ru
10 4
Direct
0.0891 0.9109 0.7500
0.1228 0.3085 0.3148
0.3085 0.1228 0.8148
0.3136 0.4942 0.0838
0.4942 0.3136 0.5838
0.5058 0.6864 0.4162
0.6864 0.5058 0.9162
0.6915 0.8772 0.1852
0.8772 0.6915 0.6852
0.9109 0.0891 0.2500
0.0771 0.7089 0.4102
0.2911 0.9229 0.0898
0.7089 0.0771 0.9102
0.9229 0.2911 0.5898
```

Results
Its formation energy is -33.0 kJ/mol of atoms.


A plane-wave DFT calculation with PBE-GGA was carried out for crystalline ThRu2 at its relaxed geometry.

Structure (POSCAR):
```
ThRu2
1.0
0.0000 3.8392 3.8392
3.8392 0.0000 3.8392
3.8392 3.8392 0.0000
Th Ru
2 4
Direct
0.1250 0.1250 0.1250
0.8750 0.8750 0.8750
0.0000 0.5000 0.5000
0.5000 0.0000 0.5000
0.5000 0.5000 0.0000
0.5000 0.5000 0.5000
```

Results
Its formation energy is -29.8 kJ/mol of atoms.


A plane-wave DFT calculation with PBE-GGA was carried out for crystalline ThRu6 at its relaxed geometry.

Structure (POSCAR):
```
ThRu6
1.0
6.6842 0.0000 0.0000
0.0000 6.6842 0.0000
0.0000 0.0000 6.6842
Th Ru
2 12
Direct
0.0000 0.0000 0.0000
0.5000 0.5000 0.5000
0.0000 0.2500 0.5000
0.0000 0.5000 0.2500
0.0000 0.5000 0.7500
0.0000 0.7500 0.5000
0.2500 0.0000 0.5000
0.2500 0.5000 0.0000
0.5000 0.0000 0.2500
0.5000 0.0000 0.7500
0.5000 0.2500 0.0000
0.5000 0.7500 0.0000
0.7500 0.0000 0.5000
0.7500 0.5000 0.0000
```

Results
Its formation energy is 64.4 kJ/mol of atoms.


A plane-wave DFT calculation with PBE-GGA was carried out for crystalline ThRu at its relaxed geometry.

Structure (POSCAR):
```
ThRu
1.0
4.6715 0.0000 0.0000
-2.3358 4.0456 0.0000
0.0000 0.0000 17.1277
Th Ru
6 6
Direct
0.0000 0.0000 0.2440
0.0000 0.0000 0.7560
0.3333 0.6667 0.4226
0.3333 0.6667 0.9107
0.6667 0.3333 0.0893
0.6667 0.3333 0.5774
0.0000 0.0000 0.0764
0.0000 0.0000 0.9236
0.3333 0.6667 0.5902
0.3333 0.6667 0.7431
0.6667 0.3333 0.2569
0.6667 0.3333 0.4098
```

Results
Its formation energy is -3.9 kJ/mol of atoms.


A plane-wave DFT calculation with PBE-GGA was carried out for crystalline ThRu at its relaxed geometry.

Structure (POSCAR):
```
ThRu
1.0
3.8811 0.0000 0.0000
0.0000 4.0042 0.0000
-1.9501 0.0000 5.7952
Th Ru
2 2
Direct
0.1367 0.2500 0.2745
0.8633 0.7500 0.7255
0.4078 0.2500 0.8139
0.5922 0.7500 0.1861
```

Results
Its formation energy is -51.9 kJ/mol of atoms.


A plane-wave DFT calculation with PBE-GGA was carried out for crystalline ThTiRu2 at its relaxed geometry.

Structure (POSCAR):
```
ThTiRu2
1.0
3.2071 0.0000 0.0000
0.0000 3.2071 0.0000
0.0000 0.0000 7.0538
Th Ti Ru
1 1 2
Direct
0.0000 0.0000 0.0000
0.0000 0.0000 0.5000
0.5000 0.5000 0.2924
0.5000 0.5000 0.7076
```

Results
Its formation energy is -38.8 kJ/mol of atoms.


What is the formula in the eighth record? ThRu2